1.
Nb4Al3W2N3 | PBE | optimized geometry

The space group is C2/c (No. 15) and the conventional cell measures 8.911, 5.141 and 14.679 Å, with angles of 90.00, 101.73 and 90.00 degrees. The distinct sites, in fractional coordinates, are Nb at (0.115, 0.083, 0.096), Nb at (0.218, 0.084, 0.404), Al at (0.000, 0.104, 0.750), Al at (0.156, 0.427, 0.250), W at (0.053, 0.416, 0.905), N at (0.082, 0.255, 0.500) and N at (0.250, 0.250, 0.000).

As for the electronic total energy: -9.010 eV per atom. The total moment is 0.0 μB/f.u.

2.
Y4Nb2Al3N3 | PBE | optimized geometry

The space group is C2/c (No. 15) and the conventional cell measures 10.170, 5.913 and 14.545 Å, with angles of 90.00, 103.52 and 90.00 degrees. The distinct sites, in fractional coordinates, are Y at (0.116, 0.078, 0.098), Y at (0.214, 0.087, 0.402), Nb at (0.060, 0.415, 0.926), Al at (0.000, 0.158, 0.750), Al at (0.130, 0.453, 0.249), N at (0.081, 0.258, 0.500) and N at (0.250, 0.250, 0.000).

As for the electronic total energy: -7.765 eV per atom. The total moment is 0.0 μB/f.u.

3.
Nb4AlZnN2 | PBE | optimized geometry

The space group is P-6m2 (No. 187) and the conventional cell measures 3.0930, 3.0930 and 13.8686 Å, with angles of 90.00, 90.00 and 120.00 degrees. The distinct sites, in fractional coordinates, are Nb at (0.0000, 0.0000, 0.1601), Nb at (0.6667, 0.3333, 0.3395), Al at (0.0000, 0.0000, 0.5000), Zn at (0.6667, 0.3333, 0.0000) and N at (0.3333, 0.6667, 0.2486).

As for the electronic total energy: -8.352 eV per atom. The total moment is 0.0 μB/f.u.

4.
NdAl3N | PBE | optimized geometry

The space group is Pm-3m (No. 221) and the conventional cell measures 4.422, 4.422 and 4.422 Å, with angles of 90.00, 90.00 and 90.00 degrees. The distinct sites, in fractional coordinates, are Nd at (0.000, 0.000, 0.000), Al at (0.000, 0.500, 0.500) and N at (0.500, 0.500, 0.500).

As for the electronic total energy: -4.765 eV per atom. The total moment is 1.3 μB/f.u.

5.
NdAlNO | PBE | optimized geometry

The space group is Pca2_1 (No. 29) and the conventional cell measures 5.311, 8.000 and 5.113 Å, with angles of 90.00, 90.00 and 90.00 degrees. The distinct sites, in fractional coordinates, are Nd at (0.013, 0.135, 0.000), Al at (0.070, 0.609, 0.030), N at (0.008, 0.828, 0.001) and O at (0.129, 0.544, 0.375).

The energy relative to the lowest polymorph listed for this composition is 0.036 eV per atom. The total moment is 0.0 μB/f.u.

6.
NdAlNO | PBE | optimized geometry

The space group is Pmc2_1 (No. 26) and the conventional cell measures 3.455, 5.915 and 5.392 Å, with angles of 90.00, 90.00 and 90.00 degrees. The distinct sites, in fractional coordinates, are Nd at (0.000, 0.216, 0.000), Al at (0.500, 0.296, 0.500), N at (0.000, 0.172, 0.499) and O at (0.500, 0.497, 0.753).

The energy relative to the lowest polymorph listed for this composition is 0.000 eV per atom. The total moment is 0.0 μB/f.u.

7.
NdAlNO | PBE | optimized geometry

The space group is C2/m (No. 12) and the conventional cell measures 7.569, 9.055 and 3.489 Å, with angles of 90.00, 90.03 and 90.00 degrees. The distinct sites, in fractional coordinates, are Nd at (0.000, 0.192, 0.000), Al at (0.182, 0.500, 0.501), N at (0.217, 0.000, 0.999) and O at (0.000, 0.365, 0.500).

The energy relative to the lowest polymorph listed for this composition is 0.101 eV per atom. The total moment is 0.0 μB/f.u.

8.
NdAlNO | PBE | optimized geometry

The space group is P4/nmm (No. 129, origin choice 2) and the conventional cell measures 4.531, 4.531 and 5.481 Å, with angles of 90.00, 90.00 and 90.00 degrees. The distinct sites, in fractional coordinates, are Nd at (0.250, 0.750, 0.000), Al at (0.250, 0.250, 0.478), N at (0.250, 0.250, 0.147) and O at (0.250, 0.750, 0.500).

The energy relative to the lowest polymorph listed for this composition is 0.529 eV per atom. The total moment is 0.8 μB/f.u.